Computed, not measured: a relaxed SrLa2C2N6 crystal at the PBE level of DFT.

abc: 6.6893 5.5298 5.4774
angles: 103.69 78.28 67.35
With the nearest neighbours (Å) after each atom.
Fractional positions:
N (0.4082, 0.6971, 0.8511)  1 C 1.35
N (0.1484, 0.9278, 0.6553)  1 C 1.35
N (0.8378, 0.4825, 0.2767)  1 C 1.37
N (0.5918, 0.3029, 0.1489)  1 C 1.35
N (0.1622, 0.5175, 0.7233)  1 C 1.37
N (0.8516, 0.0722, 0.3447)  1 C 1.35
Sr (0.5000, 0.0000, 0.5000)  4 N 2.55-2.65
C (0.2394, 0.7153, 0.7442)  3 N 1.35-1.37
C (0.7606, 0.2847, 0.2558)  3 N 1.35-1.37
La (0.8345, 0.3942, 0.7721)  6 N 2.44-2.70
La (0.1655, 0.6058, 0.2279)  6 N 2.44-2.70

Summary:
magnetic moment	1.5	μB per formula unit
SG	P-1
calculated volume	171.6	Å³ per cell
energy	-7.88	eV/atom
density of states at the Fermi level	3.3	states/eV/f.u.
formation energy from raw total energies	-0.61	eV/atom